No. 1
PuFeF2: relaxed, PBE with a Hubbard U.

For the total energy, the calculation gives -7.42 eV/atom.

It has space group R-3m (No. 166, hexagonal axes), with a = 3.4227 Å, b = 3.4227 Å, c = 21.1109 Å, α = 90.00°, β = 90.00° and γ = 120.00°. Symmetry generates all atoms from Pu at (0.0000, 0.0000, 0.0000), Fe at (0.0000, 0.0000, 0.5000) and F at (0.0000, 0.0000, 0.1233).

=====

No. 2
NbTl2NiO6: relaxed, PBE with a Hubbard U.

For the total energy, the calculation gives -6.02 eV/atom.

It has space group P1 (No. 1), with a = 5.601 Å, b = 5.602 Å, c = 5.775 Å, α = 119.00°, β = 90.00° and γ = 119.97°. Symmetry generates all atoms from Nb at (0.000, 0.000, 0.000), Tl at (0.233, 0.466, 0.700), Tl at (0.741, 0.482, 0.223), Ni at (0.506, 0.013, 0.520), O at (0.144, 0.926, 0.293), O at (0.268, 0.959, 0.799), O at (0.366, 0.509, 0.292), O at (0.692, 0.530, 0.801), O at (0.782, 0.150, 0.293) and O at (0.838, 0.106, 0.798).

=====

Total moment readings, ordered: 31.1, 2.0 μB per cell